{
  "formula": "KHgPt",
  "functional": "PBE",
  "state": "relaxed",
  "dft_energy_ev_per_cell": -7.71,
  "ef_mev_per_atom": -90.4,
  "spacegroup": "Imm2 (44)",
  "cell": [[6.4081, -0.0075, 0.0037], [4.1092, 4.9172, -0.0037], [-4.8641, -3.2999, 2.5524]],
  "species": ["Hg", "K", "Pt"],
  "frac_coords": [[0.0598, 0.0598, 0.0000], [0.3336, 0.3336, 0.0000], [0.6066, 0.6066, 0.0000]]
}